1.
# PBE-GGA LiTl4Hg5, relaxed
# Calculated volume in A^3/atom: 26.92
# Excess energy over the best structure of this formula in the dataset in eV/atom: 0.000
# N(E_F) in states/eV/cell: 4.17
# DFT formation energy in eV per formula unit: -0.73
data_LiTl4Hg5
_chemical_formula_sum 'Li1 Tl4 Hg5'
_cell_length_a 3.7024
_cell_length_b 3.7024
_cell_length_c 19.6364
_cell_angle_alpha 90.00
_cell_angle_beta 90.00
_cell_angle_gamma 90.00
_symmetry_space_group_name_H-M 'P 4/m m m'
_symmetry_Int_Tables_number 123
_symmetry_space_group_name_Hall '-P 4 2'
loop_
_atom_site_label
_atom_site_type_symbol
_atom_site_fract_x
_atom_site_fract_y
_atom_site_fract_z
Li1 Li 0.0000 0.0000 0.0000
Tl1 Tl 0.0000 0.0000 0.1801
Tl2 Tl 0.0000 0.0000 0.3929
Hg1 Hg 0.5000 0.5000 0.0767
Hg2 Hg 0.5000 0.5000 0.2844
Hg3 Hg 0.5000 0.5000 0.5000

2.
# PBE-GGA LiTlHg2, relaxed
# Calculated volume in A^3/atom: 23.82
# Excess energy over the best structure of this formula in the dataset in eV/atom: 0.052
# N(E_F) in states/eV/cell: 2.68
# DFT formation energy in eV per formula unit: -0.51
data_LiTlHg2
_chemical_formula_sum 'Li2 Tl2 Hg4'
_cell_length_a 4.6065
_cell_length_b 4.6065
_cell_length_c 8.9808
_cell_angle_alpha 90.00
_cell_angle_beta 90.00
_cell_angle_gamma 90.00
_symmetry_space_group_name_H-M 'I -4 m 2'
_symmetry_Int_Tables_number 119
_symmetry_space_group_name_Hall 'I -4 -2'
loop_
_atom_site_label
_atom_site_type_symbol
_atom_site_fract_x
_atom_site_fract_y
_atom_site_fract_z
Li1 Li 0.0000 0.0000 0.0000
Tl1 Tl 0.0000 0.5000 0.7500
Hg1 Hg 0.0000 0.0000 0.5000
Hg2 Hg 0.0000 0.5000 0.2500

3.
# PBE-GGA LiTl5Hg2, relaxed
# Calculated volume in A^3/atom: 27.45
# N(E_F) in states/eV/cell: 5.89
# DFT formation energy in eV per formula unit: -0.42
data_LiTl5Hg2
_chemical_formula_sum 'Li2 Tl10 Hg4'
_cell_length_a 7.5716
_cell_length_b 16.4824
_cell_length_c 3.5196
_cell_angle_alpha 90.00
_cell_angle_beta 90.00
_cell_angle_gamma 90.00
_symmetry_space_group_name_H-M 'P b a m'
_symmetry_Int_Tables_number 55
_symmetry_space_group_name_Hall '-P 2 2ab'
loop_
_atom_site_label
_atom_site_type_symbol
_atom_site_fract_x
_atom_site_fract_y
_atom_site_fract_z
Li1 Li 0.0000 0.0000 0.0000
Tl1 Tl 0.0000 0.5000 0.0000
Tl2 Tl 0.0185 0.2718 0.0000
Tl3 Tl 0.2153 0.1180 0.5000
Hg1 Hg 0.2029 0.8907 0.5000

4.
# PBE-GGA LiTlHg5, relaxed
# Calculated volume in A^3/atom: 26.49
# Excess energy over the best structure of this formula in the dataset in eV/atom: 0.000
# N(E_F) in states/eV/cell: 1.52
# DFT formation energy in eV per formula unit: -0.71
data_LiTlHg5
_chemical_formula_sum 'Li1 Tl1 Hg5'
_cell_length_a 4.5424
_cell_length_b 4.5424
_cell_length_c 8.9883
_cell_angle_alpha 90.00
_cell_angle_beta 90.00
_cell_angle_gamma 90.00
_symmetry_space_group_name_H-M 'P 4/m m m'
_symmetry_Int_Tables_number 123
_symmetry_space_group_name_Hall '-P 4 2'
loop_
_atom_site_label
_atom_site_type_symbol
_atom_site_fract_x
_atom_site_fract_y
_atom_site_fract_z
Li1 Li 0.0000 0.0000 0.0000
Tl1 Tl 0.0000 0.0000 0.5000
Hg1 Hg 0.0000 0.5000 0.1929
Hg2 Hg 0.5000 0.5000 0.5000

5.
# PBE-GGA Li7Tl2Hg, relaxed
# Calculated volume in A^3/atom: 23.45
# Excess energy over the best structure of this formula in the dataset in eV/atom: 0.259
# N(E_F) in states/eV/cell: 20.65
# DFT formation energy in eV per formula unit: 0.92
data_Li7Tl2Hg
_chemical_formula_sum 'Li28 Tl8 Hg4'
_cell_length_a 9.7886
_cell_length_b 9.7886
_cell_length_c 9.7886
_cell_angle_alpha 90.00
_cell_angle_beta 90.00
_cell_angle_gamma 90.00
_symmetry_space_group_name_H-M 'F m -3 m'
_symmetry_Int_Tables_number 225
_symmetry_space_group_name_Hall '-F 4 2 3'
loop_
_atom_site_label
_atom_site_type_symbol
_atom_site_fract_x
_atom_site_fract_y
_atom_site_fract_z
Li1 Li 0.0000 0.0000 0.0000
Li2 Li 0.0000 0.0000 0.2457
Tl1 Tl 0.2500 0.2500 0.2500
Hg1 Hg 0.0000 0.0000 0.5000

6.
# PBE-GGA LiTl5Hg8, relaxed
# Calculated volume in A^3/atom: 28.21
# N(E_F) in states/eV/cell: 15.16
# DFT formation energy in eV per formula unit: -0.45
data_LiTl5Hg8
_chemical_formula_sum 'Li2 Tl10 Hg16'
_cell_length_a 9.3308
_cell_length_b 9.3308
_cell_length_c 9.0716
_cell_angle_alpha 90.00
_cell_angle_beta 90.00
_cell_angle_gamma 90.00
_symmetry_space_group_name_H-M 'I -4'
_symmetry_Int_Tables_number 82
_symmetry_space_group_name_Hall 'I -4'
loop_
_atom_site_label
_atom_site_type_symbol
_atom_site_fract_x
_atom_site_fract_y
_atom_site_fract_z
Li1 Li 0.0000 0.0000 0.0000
Tl1 Tl 0.0000 0.5000 0.2500
Tl2 Tl 0.0950 0.7242 0.5978
Hg1 Hg 0.0507 0.8381 0.2684
Hg2 Hg 0.0935 0.7164 0.9479

7.
# PBE-GGA LiTl3Hg8, relaxed
# Calculated volume in A^3/atom: 26.82
# N(E_F) in states/eV/cell: 9.46
# DFT formation energy in eV per formula unit: -0.75
data_LiTl3Hg8
_chemical_formula_sum 'Li2 Tl6 Hg16'
_cell_length_a 10.3694
_cell_length_b 10.3694
_cell_length_c 6.9130
_cell_angle_alpha 90.00
_cell_angle_beta 90.00
_cell_angle_gamma 120.00
_symmetry_space_group_name_H-M 'P 63 m c'
_symmetry_Int_Tables_number 186
_symmetry_space_group_name_Hall 'P 6c -2c'
loop_
_atom_site_label
_atom_site_type_symbol
_atom_site_fract_x
_atom_site_fract_y
_atom_site_fract_z
Li1 Li 0.3333 0.6667 0.0000
Tl1 Tl 0.1595 0.3190 0.7616
Hg1 Hg 0.0000 0.0000 0.0137
Hg2 Hg 0.0148 0.5074 0.0003
Hg3 Hg 0.1988 0.3976 0.2567
Hg4 Hg 0.3333 0.6667 0.5724

8.
# PBE-GGA Li8TlHg6, relaxed
# Calculated volume in A^3/atom: 20.14
# N(E_F) in states/eV/cell: 14.15
# DFT formation energy in eV per formula unit: -3.89
data_Li8TlHg6
_chemical_formula_sum 'Li24 Tl3 Hg18'
_cell_length_a 7.4781
_cell_length_b 7.4781
_cell_length_c 18.7114
_cell_angle_alpha 90.00
_cell_angle_beta 90.00
_cell_angle_gamma 120.00
_symmetry_space_group_name_H-M 'R -3'
_symmetry_Int_Tables_number 148
_symmetry_space_group_name_Hall '-R 3'
loop_
_atom_site_label
_atom_site_type_symbol
_atom_site_fract_x
_atom_site_fract_y
_atom_site_fract_z
Li1 Li 0.0000 0.0000 0.1011
Li2 Li 0.0460 0.7779 0.6221
Tl1 Tl 0.0000 0.0000 0.5000
Hg1 Hg 0.0285 0.7727 0.7682